(1)
## Li2LaPb (PBEsol)

Data for crystalline Li2LaPb at its relaxed geometry.

The structure in POSCAR format:
```
Li2LaPb
1.0
-3.148 1.369 -1.356
-1.344 -3.421 -0.333
-2.637 0.401 6.530
Pb Li La
1 2 1
direct
0.500 0.500 0.000
0.000 0.000 0.798
0.000 0.000 0.202
0.500 0.500 0.500
```

Output
crystal system	tetragonal
SG	P4/mmm (123)
uncorrected energy	-3.469	eV/atom
formation energy	-0.149	eV per atom

---

(2)
## Li2LaPb2 (PBEsol)

Data for crystalline Li2LaPb2 at its relaxed geometry.

The structure in POSCAR format:
```
Li2LaPb2
1.0
4.470 0.000 0.000
0.000 4.470 0.000
-2.235 -2.235 6.180
Pb Li La
2 2 1
direct
0.382 0.382 0.763
0.618 0.618 0.237
0.250 0.750 0.500
0.750 0.250 0.500
0.000 0.000 0.000
```

Output
E above lowest polymorph	0.000	eV/f.u.
crystal system	tetragonal
SG	I4/mmm (139)
uncorrected energy	-3.913	eV/atom
formation energy	-0.458	eV per atom